[1]
10
Lattice="7.8539 0.0000 0.0000 0.0000 7.8539 0.0000 0.0000 0.0000 5.9655" Properties=species:S:1:pos:R:3 comment="Rb2LiSb2 PBE relaxed" volume_a3_per_cell=368.0 dos_at_fermi_per_ev_cell=10.9 spacegroup="P4/mbm, No. 127" raw_formation_energy_ev_per_atom=-0.328 pbc="T T T"
Rb 5.2600 6.5208 2.9828
Rb 6.5208 2.5939 2.9828
Rb 2.5939 1.3331 2.9828
Rb 1.3331 5.2600 2.9828
Li 3.9269 3.9269 0.0000
Li 0.0000 0.0000 0.0000
Sb 4.9486 1.0217 0.0000
Sb 6.8322 4.9486 0.0000
Sb 2.9053 6.8322 0.0000
Sb 1.0217 2.9053 0.0000

***

[2]
8
Lattice="-1.2710 -4.9341 2.5716 4.8253 -2.2909 -2.0106 6.4615 -0.6934 8.1963" Properties=species:S:1:pos:R:3 comment="RbLiSb2 PBE relaxed" volume_a3_per_cell=314.3 dos_at_fermi_per_ev_cell=4.9 spacegroup="I-42d, No. 122" raw_formation_energy_ev_per_atom=-0.230 pbc="T T T"
Rb 0.0000 0.0000 0.0000
Rb 3.4838 -4.6200 5.5242
Sb 7.0068 -6.3912 7.0337
Sb 1.6742 -2.5728 2.8991
Sb 4.2223 -3.1927 1.6198
Sb 7.1283 -3.6801 5.9620
Li 1.7772 -3.6125 0.2805
Li 6.5320 -3.2984 3.2331

***

[3]
16
Lattice="-4.4422 4.2961 -1.5991 -0.1667 -5.8572 -2.5322 -12.2173 -6.6274 16.1343" Properties=species:S:1:pos:R:3 comment="Rb5LiSb2 PBE relaxed" volume_a3_per_cell=751.5 dos_at_fermi_per_ev_cell=4.7 spacegroup="P6_3/mmc, No. 194" raw_formation_energy_ev_per_atom=-0.398 pbc="T T T"
Rb -4.4206 -2.3980 5.8379
Rb -10.7548 -7.4434 9.8796
Rb -10.5292 -5.7117 13.9050
Rb -3.6358 0.5760 -1.0930
Rb -1.6880 -0.9157 2.2293
Rb -13.1904 -8.7646 13.0961
Rb -8.5070 -2.0664 5.3400
Rb -8.3192 -6.1221 6.6631
Rb -6.0714 -0.7452 2.1235
Rb -7.7967 -4.2294 10.2964
Sb -3.1230 -3.3034 -0.1991
Sb -10.6568 -3.2327 8.1791
Sb -13.7032 -4.8852 12.2022
Sb -6.1694 -4.9559 3.8240
Li -12.1800 -4.0589 10.1906
Li -4.6462 -4.1296 1.8124

***

[4]
14
Lattice="7.5830 0.0000 0.0000 0.0000 7.5830 0.0000 0.0000 0.0000 7.5830" Properties=species:S:1:pos:R:3 comment="RbLi3Sb3 PBE relaxed" volume_a3_per_cell=436.0 dos_at_fermi_per_ev_cell=14.8 spacegroup="Pm-3n, No. 223" raw_formation_energy_ev_per_atom=-0.060 pbc="T T T"
Sb 3.7915 0.0000 5.6872
Sb 0.0000 1.8957 3.7915
Sb 5.6872 3.7915 0.0000
Sb 1.8957 3.7915 0.0000
Sb 3.7915 0.0000 1.8957
Sb 0.0000 5.6872 3.7915
Li 3.7915 1.8957 0.0000
Li 1.8957 0.0000 3.7915
Li 0.0000 3.7915 5.6872
Li 5.6872 0.0000 3.7915
Li 0.0000 3.7915 1.8957
Li 3.7915 5.6872 0.0000
Rb 3.7915 3.7915 3.7915
Rb 0.0000 0.0000 0.0000

***

[5]
7
Lattice="-4.3704 -0.1341 -2.0372 2.1242 -6.7585 1.5987 -2.9307 4.3056 6.0039" Properties=species:S:1:pos:R:3 comment="Rb2Li3Sb2 PBE relaxed" volume_a3_per_cell=231.5 dos_at_fermi_per_ev_cell=1.9 spacegroup="C2/m, No. 12" raw_formation_energy_ev_per_atom=-0.439 pbc="T T T"
Sb -0.6831 -0.7225 1.5131
Sb -4.4938 -1.8644 4.0523
Li -1.7713 -1.9206 3.9264
Li -2.1852 -0.0670 -1.0186
Li -3.4056 -0.6663 1.6389
Rb -2.2596 1.3267 4.7601
Rb -2.9173 -3.9136 0.8052

***

[6]
4
Lattice="3.5141 0.0000 0.0000 1.7570 3.0433 0.0000 1.7570 1.0144 10.5982" Properties=species:S:1:pos:R:3 comment="RbLiSb2 PBE relaxed" volume_a3_per_cell=113.3 dos_at_fermi_per_ev_cell=2.9 spacegroup="R-3m, No. 166" raw_formation_energy_ev_per_atom=-0.161 pbc="T T T"
Sb 1.7570 1.0144 2.2288
Sb 5.2711 3.0433 8.3695
Li 0.0000 0.0000 0.0000
Rb 3.5141 2.0288 5.2991

***

[7]
4
Lattice="0.0000 3.9243 3.9243 3.9243 0.0000 3.9243 3.9243 3.9243 0.0000" Properties=species:S:1:pos:R:3 comment="RbLiSb2 PBE relaxed" volume_a3_per_cell=120.9 dos_at_fermi_per_ev_cell=2.3 spacegroup="Fm-3m, No. 225" raw_formation_energy_ev_per_atom=0.014 pbc="T T T"
Li 0.0000 0.0000 0.0000
Sb 5.8865 5.8865 5.8865
Sb 1.9622 1.9622 1.9622
Rb 3.9243 3.9243 3.9243

***

[8]
16
Lattice="6.2664 0.0000 0.0000 3.1332 7.2165 0.0000 3.1332 0.0000 12.7551" Properties=species:S:1:pos:R:3 comment="Rb2LiSbSe4 PBE relaxed" volume_a3_per_cell=576.8 spacegroup="Fddd, No. 70" raw_formation_energy_ev_per_atom=-0.804 pbc="T T T"
Rb 3.1332 0.0000 8.1061
Rb 6.2664 0.0000 4.6490
Rb 7.8330 3.6082 11.0265
Rb 7.8330 3.6082 1.7286
Sb 4.6998 3.6082 6.3776
Sb 3.1332 0.0000 0.0000
Se 4.7945 1.4933 11.3844
Se 10.8715 5.7231 11.3844
Se 6.1717 2.1149 7.7483
Se 9.4942 5.1015 7.7483
Se 4.7945 5.7231 1.3708
Se 3.2279 2.1149 5.0068
Se 4.6051 1.4933 1.3708
Se 6.1717 5.1015 5.0068
Li 0.0000 0.0000 0.0000
Li 7.8330 3.6082 6.3776